# 1
Be2SiSn | GGA-PBE | relaxed

SG	Fm-3m, No. 225
formation energy from raw total energies	0.7022	eV/atom
energy relative to the lowest polymorph listed for this composition	357	meV per atom

Cell: 4.391 4.391 4.391 Å, 60.00 60.00 60.00°
Positions (direct):
Be  0.250  0.250  0.250
Be  0.750  0.750  0.750
Si  0.000  0.000  0.000
Sn  0.500  0.500  0.500

=====

# 2
BeSi4Sn2 | GGA-PBE | relaxed

SG	I4/mmm, No. 139
formation energy from raw total energies	0.5768	eV/atom

Cell: 4.331 4.331 7.894 Å, 74.08 74.08 90.00°
Positions (direct):
Be  0.000  0.000  0.000
Si  0.849  0.849  0.302
Si  0.151  0.151  0.698
Si  0.000  0.500  0.000
Si  0.500  0.000  0.000
Sn  0.656  0.656  0.689
Sn  0.344  0.344  0.311

=====

# 3
BeSi2Sn | GGA-PBE | relaxed

SG	I-42d, No. 122
formation energy from raw total energies	0.4074	eV/atom
energy relative to the lowest polymorph listed for this composition	0	meV per atom

Cell: 4.906 4.906 7.551 Å, 71.04 71.04 90.00°
Positions (direct):
Be  0.500  0.500  0.000
Be  0.250  0.750  0.500
Si  0.522  0.125  0.250
Si  0.228  0.625  0.250
Si  0.375  0.478  0.750
Si  0.875  0.772  0.750
Sn  0.000  0.000  0.000
Sn  0.750  0.250  0.500

=====

# 4
Be3SiSn | GGA-PBE | relaxed

SG	Pm-3m, No. 221
formation energy from raw total energies	1.4318	eV/atom
energy relative to the lowest polymorph listed for this composition	643	meV per atom

Cell: 4.566 4.566 4.566 Å, 90.00 90.00 90.00°
Positions (direct):
Be  0.000  0.500  0.000
Be  0.000  0.000  0.500
Be  0.500  0.000  0.000
Si  0.500  0.500  0.500
Sn  0.000  0.000  0.000

=====

# 5
SrBeSiSn2 | GGA-PBE | relaxed

SG	P4/mmm, No. 123
formation energy from raw total energies	0.1844	eV/atom

Cell: 5.669 4.173 5.669 Å, 90.00 90.00 90.00°
Positions (direct):
Sr  0.500  0.500  0.500
Si  0.000  0.000  0.000
Sn  0.000  0.000  0.500
Sn  0.500  0.000  0.000
Be  0.000  0.500  0.000

=====

# 6
Be2SiSnTe | GGA-PBE | relaxed

SG	P4/mmm, No. 123
formation energy from raw total energies	1.0837	eV/atom

Cell: 4.492 6.166 4.492 Å, 90.00 90.00 90.00°
Positions (direct):
Be  0.000  0.000  0.500
Be  0.500  0.000  0.000
Si  0.500  0.500  0.500
Te  0.000  0.500  0.000
Sn  0.000  0.000  0.000

=====

# 7
BeSiSnTe2 | GGA-PBE | relaxed

SG	P4/mmm, No. 123
formation energy from raw total energies	0.3309	eV/atom

Cell: 5.619 4.174 5.619 Å, 90.00 90.00 90.00°
Positions (direct):
Be  0.000  0.500  0.000
Si  0.000  0.000  0.000
Te  0.000  0.000  0.500
Te  0.500  0.000  0.000
Sn  0.500  0.500  0.500

=====

# 8
Sr2BeSi3 | GGA-PBE | relaxed

SG	Fmmm, No. 69
formation energy from raw total energies	-0.3968	eV/atom

Cell: 6.189 6.189 8.408 Å, 115.21 115.21 80.94°
Positions (direct):
Sr  0.250  0.750  0.500
Sr  0.758  0.758  0.000
Sr  0.750  0.250  0.500
Sr  0.242  0.242  0.000
Be  0.667  0.667  0.333
Be  0.333  0.333  0.667
Si  0.346  0.825  0.172
Si  0.175  0.654  0.828
Si  0.654  0.175  0.828
Si  0.825  0.346  0.172
Si  0.172  0.172  0.343
Si  0.828  0.828  0.657

=====

Q: Which of these has the highest formation energy from raw total energies?
A: Be3SiSn